Run A
Entry from Alexandria via LeMat-Bulk: an optimized crystal structure of KAu3Se (PBE).

Cell and atoms, written as POSCAR:
```
KAu3Se
1.0
5.460 0.000 0.000
0.000 5.460 0.000
0.000 0.000 5.460
K Au Se
1 3 1
Direct
0.000 0.000 0.000 K
0.000 0.000 0.500 Au
0.000 0.500 0.000 Au
0.500 0.000 0.000 Au
0.500 0.500 0.500 Se
```

Run B
Entry from Alexandria via LeMat-Bulk: an optimized crystal structure of KAu3Se (PBE).

Cell and atoms, written as POSCAR:
```
KAu3Se
1.0
5.228 0.000 0.000
0.000 5.228 0.000
0.000 0.000 5.228
K Au Se
1 3 1
Direct
0.000 0.000 0.000 K
0.000 0.500 0.500 Au
0.500 0.000 0.500 Au
0.500 0.500 0.000 Au
0.500 0.500 0.500 Se
```

Pick run B: it beats the second-best structure by 1.357 eV/atom.

Run A
Entry from Alexandria via LeMat-Bulk: an optimized crystal structure of K2Au2Se (PBE).

Cell and atoms, written as POSCAR:
```
K2Au2Se
1.0
-3.253 3.253 3.819
3.253 -3.253 3.819
3.253 3.253 -3.819
K Au Se
2 2 1
Direct
0.250 0.750 0.500 K
0.750 0.250 0.500 K
0.169 0.169 0.000 Au
0.831 0.831 0.000 Au
0.500 0.500 0.000 Se
```

Run B
Entry from Alexandria via LeMat-Bulk: an optimized crystal structure of K2Au2Se (PBE).

Cell and atoms, written as POSCAR:
```
K2Au2Se
1.0
7.436 0.000 0.000
0.000 7.436 0.000
0.000 0.000 5.009
K Au Se
4 4 2
Direct
0.179 0.321 0.000 K
0.321 0.821 0.000 K
0.679 0.179 0.000 K
0.821 0.679 0.000 K
0.131 0.631 0.500 Au
0.369 0.131 0.500 Au
0.631 0.869 0.500 Au
0.869 0.369 0.500 Au
0.000 0.000 0.500 Se
0.500 0.500 0.500 Se
```

Pick run A: it beats the second-best structure by 0.143 eV/atom.